Here is crystalline MnVF4 at its relaxed geometry from the Alexandria database. Energies are from PBE+U.

```
data_MnVF4
_cell_length_a 3.334
_cell_length_b 4.932
_cell_length_c 4.932
_cell_angle_alpha 89.92
_cell_angle_beta 90.00
_cell_angle_gamma 90.00
_space_group_name_H-M_alt 'P 1'
_space_group_IT_number 1
_space_group_name_Hall 'P 1'
loop_
_atom_site_label
_atom_site_fract_x
_atom_site_fract_y
_atom_site_fract_z
F1 0.000 0.804 0.804
F2 0.000 0.196 0.196
F3 0.500 0.693 0.307
F4 0.500 0.307 0.693
Mn1 0.500 0.000 0.000
V1 0.000 0.500 0.500
```

Results
Total magnetic moment in μB per formula unit: 8.000
E in eV/atom: -6.41